(1)
A plane-wave DFT calculation with GGA-PBE was carried out for a relaxed structure of Ta2SiSb2.

Unit cell a=3.963 b=3.963 c=7.470 alpha=74.62 beta=74.62 gamma=90.00
Atoms (fractional coordinates):
Si 0.000 0.000 0.000
Sb 0.750 0.250 0.500
Sb 0.250 0.750 0.500
Ta 0.402 0.402 0.195
Ta 0.598 0.598 0.805

Computed properties:
Its spin magnetization is 0.00 μB per formula unit. The uncorrected formation energy is 15.2 kcal/mol of atoms. Its density of states at the Fermi level is 4.028 states/eV/cell.

(2)
A plane-wave DFT calculation with GGA-PBE was carried out for a relaxed structure of LiPaS3.

Unit cell a=8.699 b=6.785 c=8.699 alpha=81.82 beta=90.35 gamma=98.18
Atoms (fractional coordinates):
Li 0.409 0.250 0.409
Li 0.909 0.750 0.909
Li 0.091 0.250 0.091
Li 0.591 0.750 0.591
S 0.881 0.607 0.619
S 0.931 0.863 0.185
S 0.431 0.362 0.685
S 0.569 0.638 0.315
S 0.185 0.637 0.931
S 0.685 0.138 0.431
S 0.069 0.137 0.815
S 0.619 0.893 0.881
S 0.315 0.862 0.569
S 0.119 0.393 0.381
S 0.815 0.363 0.069
S 0.381 0.107 0.119
Pa 0.338 0.000 0.838
Pa 0.838 0.500 0.338
Pa 0.662 0.000 0.162
Pa 0.162 0.500 0.662

Computed properties:
Its spin magnetization is 0.00 μB per formula unit. The uncorrected formation energy is -34.5 kcal/mol of atoms. Its density of states at the Fermi level is 0.000 states/eV/cell.

(3)
A plane-wave DFT calculation with GGA-PBE was carried out for a relaxed structure of Tl4Pt.

Unit cell a=5.387 b=5.387 c=5.387 alpha=90.00 beta=90.00 gamma=90.00
Atoms (fractional coordinates):
Tl 0.000 0.500 0.500
Tl 0.500 0.500 0.000
Tl 0.500 0.000 0.500
Tl 0.000 0.000 0.000
Pt 0.500 0.500 0.500

Computed properties:
Its spin magnetization is 0.00 μB per formula unit. Its formation energy is 45 meV per atom. Its density of states at the Fermi level is 3.750 states/eV/cell.